The following is a DFT calculation (PBE) of PmAl3Pd10 after structural relaxation.

Unit cell a=8.784 b=8.783 c=8.783 alpha=60.00 beta=60.00 gamma=60.00
Atoms (fractional coordinates):
1 Pd 0.618 0.618 0.618
2 Pd 0.657 0.000 0.000
3 Al 0.730 0.270 0.730
4 Pd 0.000 0.657 0.000
5 Pd 0.343 0.657 0.000
6 Al 0.270 0.730 0.730
7 Pm 0.750 0.750 0.750
8 Pd 0.657 0.343 0.000
9 Pm 0.250 0.250 0.250
10 Al 0.270 0.270 0.730
11 Pd 0.343 0.000 0.000
12 Pd 0.000 0.343 0.657
13 Al 0.730 0.270 0.270
14 Pd 0.382 0.855 0.382
15 Pd 0.000 0.657 0.343
16 Pd 0.618 0.618 0.145
17 Pd 0.855 0.382 0.382
18 Pd 0.382 0.382 0.382
19 Pd 0.657 0.000 0.343
20 Pd 0.000 0.343 0.000
21 Al 0.730 0.730 0.270
22 Pd 0.145 0.618 0.618
23 Pd 0.000 0.000 0.657
24 Al 0.270 0.730 0.270
25 Pd 0.343 0.000 0.657
26 Pd 0.000 0.000 0.343
27 Pd 0.618 0.145 0.618
28 Pd 0.382 0.382 0.855

Output
Calculated total energy   -5.48 eV per atom
Formation energy   -630 meV per atom
Total magnetic moment   0.00 μB per cell

The following is a DFT calculation (PBE) of PmAl2Pd after structural relaxation.

Unit cell a=4.274 b=4.274 c=5.852 alpha=68.58 beta=68.58 gamma=60.00
Atoms (fractional coordinates):
1 Al 0.209 0.209 0.373
2 Pm 0.000 0.000 0.000
3 Pd 0.500 0.500 0.500
4 Al 0.791 0.791 0.627

Output
Calculated total energy   -5.05 eV per atom
Polymorph energy (0 for the lowest one)   62 meV per atom
Formation energy   -691 meV per atom
Total magnetic moment   0.00 μB per cell

The following is a DFT calculation (PBE) of Pm2AlPd3 after structural relaxation.

Unit cell a=4.351 b=5.532 c=6.570 alpha=114.90 beta=109.34 gamma=90.00
Atoms (fractional coordinates):
1 Pd 0.000 0.000 0.000
2 Pd 0.376 0.376 0.752
3 Pd 0.624 0.624 0.248
4 Pm 0.684 0.184 0.368
5 Al 0.000 0.500 0.000
6 Pm 0.316 0.816 0.632

Output
Calculated total energy   -5.47 eV per atom
Polymorph energy (0 for the lowest one)   158 meV per atom
Formation energy   -666 meV per atom
Total magnetic moment   0.00 μB per cell

The following is a DFT calculation (PBE) of PmAl3Pd3 after structural relaxation.

Unit cell a=6.790 b=6.790 c=7.570 alpha=63.35 beta=63.35 gamma=60.00
Atoms (fractional coordinates):
1 Al 0.740 0.086 0.619
2 Pd 0.170 0.691 0.227
3 Pd 0.089 0.830 0.773
4 Pm 0.658 0.658 0.027
5 Pd 0.911 0.170 0.227
6 Pd 0.309 0.089 0.773
7 Al 0.444 0.260 0.381
8 Pd 0.830 0.309 0.773
9 Al 0.260 0.914 0.381
10 Al 0.086 0.556 0.619
11 Al 0.914 0.444 0.381
12 Pd 0.691 0.911 0.227
13 Al 0.556 0.740 0.619
14 Pm 0.342 0.342 0.973

Output
Calculated total energy   -5.20 eV per atom
Formation energy   -688 meV per atom
Total magnetic moment   0.00 μB per cell

no.,calculated volume (Å³ per cell)
1,479.2
2,83.9
3,133.5
4,258.6